[1]
DFT (GGA-PBE) results for a relaxed Tl7SnBi3 crystal.

Cell and atoms, written as POSCAR:
```
Tl7SnBi3
1.0
7.041 0.000 0.000
-3.520 6.097 0.000
0.000 0.000 8.484
Tl Sn Bi
7 1 3
Direct
0.000 0.000 0.000
0.003 0.501 0.006
0.171 0.341 0.658
0.171 0.829 0.658
0.499 0.501 0.006
0.499 0.997 0.006
0.659 0.829 0.658
0.667 0.333 0.640
0.331 0.166 0.336
0.834 0.166 0.336
0.834 0.669 0.336
```

final energy	-2.888	eV per atom
ΔH_f (0 K)	0.040	eV per atom
space group	P3m1 (156)
DOS at the Fermi energy	0.622	states/eV per atom



[2]
DFT (GGA-PBE) results for a relaxed Cs2Ba2IrO6 crystal.

Cell and atoms, written as POSCAR:
```
Cs2Ba2IrO6
1.0
3.276 -5.497 0.000
3.276 5.497 0.000
-1.698 0.000 6.917
Cs Ba Ir O
2 2 1 6
Direct
0.162 0.838 0.000
0.838 0.162 0.000
0.338 0.662 0.500
0.662 0.338 0.500
0.000 0.000 0.500
0.042 0.302 0.658
0.200 0.200 0.327
0.302 0.042 0.658
0.698 0.958 0.342
0.800 0.800 0.673
0.958 0.698 0.342
```

final energy	-5.609	eV per atom
formation energy from raw total energies	-1.5945	eV/atom
space group	C2/m (12)



[3]
DFT (GGA-PBE) results for a relaxed LaSnHg2H crystal.

Cell and atoms, written as POSCAR:
```
LaSnHg2H
1.0
6.102 0.000 0.000
0.000 6.102 0.000
0.000 0.000 4.128
La Sn Hg H
1 1 2 1
Direct
0.000 0.000 0.000
0.500 0.500 0.500
0.000 0.500 0.000
0.500 0.000 0.000
0.000 0.000 0.500
```

final energy	-2.398	eV per atom
space group	P4/mmm (123)
DOS at the Fermi energy	0.798	states/eV per atom



[4]
DFT (GGA-PBE) results for a relaxed Sc2AuCl crystal.

Cell and atoms, written as POSCAR:
```
Sc2AuCl
1.0
4.984 0.000 0.000
0.000 4.984 0.000
0.000 0.000 3.318
Sc Au Cl
2 1 1
Direct
0.000 0.500 0.000
0.500 0.000 0.000
0.000 0.000 0.500
0.500 0.500 0.000
```

final energy	-5.413	eV per atom
formation energy from raw total energies	-0.9660	eV/atom
space group	P4/mmm (123)
DOS at the Fermi energy	0.514	states/eV per atom